# ZrTl2W, optimized geometry, DFT GGA-PBEsol
data_ZrTl2W
_chemical_formula_sum 'Zr1 Tl2 W1'
_cell_length_a 4.2350
_cell_length_b 4.2350
_cell_length_c 4.4632
_cell_angle_alpha 90.00
_cell_angle_beta 90.00
_cell_angle_gamma 90.00
_symmetry_space_group_name_H-M 'P 4/m m m'
_symmetry_Int_Tables_number 123
_symmetry_space_group_name_Hall '-P 4 2'
loop_
_atom_site_label
_atom_site_type_symbol
_atom_site_fract_x
_atom_site_fract_y
_atom_site_fract_z
Zr1 Zr 0.0000 0.0000 0.0000
Tl1 Tl 0.0000 0.5000 0.5000
W1 W 0.5000 0.5000 0.0000
# * theoretical density: 14.19 g/cm3
# * energy relative to the lowest polymorph listed for this composition: 42 meV/atom
# * ΔH_f (0 K): 0.5112 eV/atom
# * E: -6.5282 eV per atom
# * N(E_F): 3.009 states/eV/cell

# ZrTlW2, optimized geometry, DFT GGA-PBEsol
data_ZrTlW2
_chemical_formula_sum 'Zr2 Tl2 W4'
_cell_length_a 3.2898
_cell_length_b 4.7530
_cell_length_c 9.4195
_cell_angle_alpha 90.00
_cell_angle_beta 90.00
_cell_angle_gamma 90.00
_symmetry_space_group_name_H-M 'C m m m'
_symmetry_Int_Tables_number 65
_symmetry_space_group_name_Hall '-C 2 2'
loop_
_atom_site_label
_atom_site_type_symbol
_atom_site_fract_x
_atom_site_fract_y
_atom_site_fract_z
Zr1 Zr 0.0000 0.0000 0.0000
Tl1 Tl 0.0000 0.0000 0.5000
W1 W 0.0000 0.5000 0.2457
# * theoretical density: 14.96 g/cm3
# * energy relative to the lowest polymorph listed for this composition: 110 meV/atom
# * ΔH_f (0 K): 0.5826 eV/atom
# * E: -9.2511 eV per atom
# * N(E_F): 7.211 states/eV/cell

# ZrTl3W, optimized geometry, DFT GGA-PBEsol
data_ZrTl3W
_chemical_formula_sum 'Zr1 Tl3 W1'
_cell_length_a 5.4366
_cell_length_b 5.4366
_cell_length_c 5.4366
_cell_angle_alpha 90.00
_cell_angle_beta 90.00
_cell_angle_gamma 90.00
_symmetry_space_group_name_H-M 'P m -3 m'
_symmetry_Int_Tables_number 221
_symmetry_space_group_name_Hall '-P 4 2 3'
loop_
_atom_site_label
_atom_site_type_symbol
_atom_site_fract_x
_atom_site_fract_y
_atom_site_fract_z
Zr1 Zr 0.0000 0.0000 0.0000
Tl1 Tl 0.0000 0.0000 0.5000
W1 W 0.5000 0.5000 0.5000
# * theoretical density: 9.18 g/cm3
# * ΔH_f (0 K): 1.8482 eV/atom
# * E: -4.3093 eV per atom
# * N(E_F): 4.262 states/eV/cell

Among the records above, which one has the lowest ΔH_f (0 K)? ZrTl2W

Which value of N(E_F) does entry 2 give? 7.211 states/eV/cell

Which of these has the highest E? ZrTl3W